DFT (PBE) results for a relaxed Sc3Au crystal.

abc: 4.8535 6.1611 5.5048
angles: 90.00 90.00 90.00
Closest atoms and distances in Å follow each position.
Fractional coordinates of all 8 atoms:
Sc 0.2500 0.0048 0.1568  8 Sc 2.98-3.30, 4 Au 3.01-3.24
Sc 0.2500 0.2500 0.6234  4 Au 2.92-3.09, 6 Sc 2.98-3.13
Sc 0.2500 0.4952 0.1568  8 Sc 2.98-3.30, 4 Au 3.01-3.24
Sc 0.7500 0.5048 0.8432  8 Sc 2.98-3.30, 4 Au 3.01-3.24
Sc 0.7500 0.7500 0.3766  4 Au 2.92-3.09, 6 Sc 2.98-3.13
Sc 0.7500 0.9952 0.8432  8 Sc 2.98-3.30, 4 Au 3.01-3.24
Au 0.2500 0.7500 0.6710  12 Sc 2.92-3.24
Au 0.7500 0.2500 0.3290  12 Sc 2.92-3.24

Values from the calculation:
Its total moment is 0.00 μB/cell. The formation energy is -0.3436 eV per atom. Its total energy is -5.91 eV per atom.